# 1
A crystal of KLi2Sb2 relaxed with PBEsol, computed with SCAN.

Computed properties:
Uncorrected formation energy in eV/atom: -0.53
Electronic total energy in eV per atom: -18.056
Space group: P4/mbm, No. 127
DOS(E_F) in states/eV per cell: 2.48
V in Å³/atom: 23.705
Total magnetic moment in μB/f.u.: 0.0

abc: 3.1234 8.7119 8.7119
angles: 90.00 90.00 90.00
Fractional positions:
Sb 0.5000 0.1647 0.6647
Sb 0.5000 0.6647 0.8353
Sb 0.5000 0.8353 0.3353
Sb 0.5000 0.3353 0.1647
K 0.0000 0.0000 0.0000
K 0.0000 0.5000 0.5000
Li 0.0000 0.3760 0.8760
Li 0.0000 0.8760 0.6240
Li 0.0000 0.6240 0.1240
Li 0.0000 0.1240 0.3760

# 2
A crystal of KLi2Sb relaxed with PBEsol, computed with SCAN.

Computed properties:
Uncorrected formation energy in eV/atom: -0.32
Electronic total energy in eV per atom: -12.916
Space group: Pm, No. 6
DOS(E_F) in states/eV per cell: 1.55
V in Å³/atom: 30.046
Total magnetic moment in μB/f.u.: 0.1

abc: 3.4048 4.8837 7.4249
angles: 90.00 103.23 90.00
Fractional positions:
Sb 0.6495 0.0000 0.4251
K 0.2853 0.5000 0.6967
Li 0.9971 0.0000 0.1190
Li 0.5681 0.5000 0.2592

# 3
A crystal of KLi2Sb relaxed with PBEsol, computed with SCAN.

Computed properties:
Uncorrected formation energy in eV/atom: -0.61
Electronic total energy in eV per atom: -13.206
Space group: Cm, No. 8
V in Å³/atom: 29.705
Total magnetic moment in μB/f.u.: 0.0

abc: 4.7611 4.7610 6.6445
angles: 110.93 90.00 120.00
Fractional positions:
Sb 0.5669 0.1339 0.7012
K 0.7610 0.5219 0.2814
Li 0.9329 0.8658 0.7996
Li 0.2392 0.4784 0.7178

> Number 3 is which compound?

KLi2Sb